DFT (PBE-GGA) results for Li3Y3RhO8 after structural relaxation.

## Properties
ΔE_f (raw): -55.186 kcal/mol of atoms
Size of the total moment: 3.16 Bohr magnetons per cell
Density of states at the Fermi level: 0.49 states/eV/atom

abc: 6.6295 6.6295 14.8898
angles: 90.00 90.00 120.00
Last column: nearest neighbours and their distance in Å.
Space group R-3m (No. 166, hexagonal axes)
Inequivalent atoms, fractional coordinates:
Li 0.0000 0.5000 0.0000 (multiplicity 9)  6 O 2.27-2.33
Y 0.0000 0.5000 0.5000 (multiplicity 9)  6 O 2.24-2.31
Rh 0.0000 0.0000 0.5000 (multiplicity 3)  6 O 2.08
O 0.0000 0.0000 0.2445 (multiplicity 6)  3 Y 2.24, 3 Li 2.33
O 0.0310 0.5155 0.2432 (multiplicity 18)  1 Rh 2.08, 2 Li 2.27, 2 Y 2.31

DFT (PBE-GGA) results for TcHgOs2 after structural relaxation.

## Properties
E_form: 0.400 eV/atom
Size of the total moment: 0.00 Bohr magnetons per cell
Density of states at the Fermi level: 0.77 states/eV/atom

abc: 2.8030 2.8030 27.9707
angles: 90.00 90.00 120.00
Last column: nearest neighbours and their distance in Å.
Space group R3m (No. 160, hexagonal axes)
Inequivalent atoms, fractional coordinates:
Tc 0.0000 0.0000 0.0000 (multiplicity 3)  3 Os 2.66, 6 Tc 2.80
Hg 0.0000 0.0000 0.7573 (multiplicity 3)  6 Hg 2.80, 3 Tc 3.01, 3 Os 3.01
Os 0.0000 0.0000 0.2581 (multiplicity 3)  3 Tc 2.66, 9 Os 2.68-2.80
Os 0.0000 0.0000 0.5149 (multiplicity 3)  9 Os 2.68-2.80